1.
Material: Be2CrMo
Method: DFT, meta-GGA SCAN
State: PBEsol geometry

The structure in extended XYZ format:
```
4
Lattice="3.4519 0.0000 0.0000 0.0000 3.4519 0.0000 0.0000 0.0000 3.6619" Properties=species:S:1:pos:R:3 pbc="T T T"
Be 0.0000 1.7260 0.0000
Be 1.7260 0.0000 0.0000
Cr 0.0000 0.0000 1.8309
Mo 1.7260 1.7260 1.8309
```

## Properties
**Energy of formation from the pure elements**: 0.062 eV/atom
**SG**: P4/mmm (123)
**Calculated volume**: 43.6 Å³ per cell
**Distance to the lowest polymorph of the same formula**: 0 meV per atom


2.
Material: Be2CrMo
Method: DFT, meta-GGA SCAN
State: PBEsol geometry

The structure in extended XYZ format:
```
4
Lattice="1.2821 0.7402 8.1629 -1.2821 0.7402 8.1629 0.0000 -1.4804 8.1629" Properties=species:S:1:pos:R:3 pbc="T T T"
Be 0.0000 0.0000 0.0000
Be 0.0000 0.0000 6.3488
Cr 0.0000 0.0000 12.5891
Mo 0.0000 0.0000 18.4564
```

## Properties
**Energy of formation from the pure elements**: 0.426 eV/atom
**SG**: R3m (160)
**Calculated volume**: 46.5 Å³ per cell
**Distance to the lowest polymorph of the same formula**: 363 meV per atom


3.
Material: BeCrMo2
Method: DFT, meta-GGA SCAN
State: PBEsol geometry

The structure in extended XYZ format:
```
4
Lattice="1.5656 -2.0861 0.0000 1.5656 2.0861 0.0000 0.0000 0.0000 7.7845" Properties=species:S:1:pos:R:3 pbc="T T T"
Be 0.0000 0.0000 0.0000
Cr 1.5656 0.0000 6.1466
Mo 0.0000 0.0000 4.1037
Mo 1.5656 0.0000 1.8421
```

## Properties
**Energy of formation from the pure elements**: 0.142 eV/atom
**SG**: Cmm2 (35)
**Calculated volume**: 50.8 Å³ per cell


What did the second record say?
Material: Be2CrMo
Method: DFT, meta-GGA SCAN
State: PBEsol geometry

The structure in extended XYZ format:
```
4
Lattice="1.2821 0.7402 8.1629 -1.2821 0.7402 8.1629 0.0000 -1.4804 8.1629" Properties=species:S:1:pos:R:3 pbc="T T T"
Be 0.0000 0.0000 0.0000
Be 0.0000 0.0000 6.3488
Cr 0.0000 0.0000 12.5891
Mo 0.0000 0.0000 18.4564
```

## Properties
**Energy of formation from the pure elements**: 0.426 eV/atom
**SG**: R3m (160)
**Calculated volume**: 46.5 Å³ per cell
**Distance to the lowest polymorph of the same formula**: 363 meV per atom


Copy entry 2 word for word.
Material: Be2CrMo
Method: DFT, meta-GGA SCAN
State: PBEsol geometry

The structure in extended XYZ format:
```
4
Lattice="1.2821 0.7402 8.1629 -1.2821 0.7402 8.1629 0.0000 -1.4804 8.1629" Properties=species:S:1:pos:R:3 pbc="T T T"
Be 0.0000 0.0000 0.0000
Be 0.0000 0.0000 6.3488
Cr 0.0000 0.0000 12.5891
Mo 0.0000 0.0000 18.4564
```

## Properties
**Energy of formation from the pure elements**: 0.426 eV/atom
**SG**: R3m (160)
**Calculated volume**: 46.5 Å³ per cell
**Distance to the lowest polymorph of the same formula**: 363 meV per atom


- Which of these has the highest calculated volume?
  BeCrMo2


Repeat the first record exactly.
Material: Be2CrMo
Method: DFT, meta-GGA SCAN
State: PBEsol geometry

The structure in extended XYZ format:
```
4
Lattice="3.4519 0.0000 0.0000 0.0000 3.4519 0.0000 0.0000 0.0000 3.6619" Properties=species:S:1:pos:R:3 pbc="T T T"
Be 0.0000 1.7260 0.0000
Be 1.7260 0.0000 0.0000
Cr 0.0000 0.0000 1.8309
Mo 1.7260 1.7260 1.8309
```

## Properties
**Energy of formation from the pure elements**: 0.062 eV/atom
**SG**: P4/mmm (123)
**Calculated volume**: 43.6 Å³ per cell
**Distance to the lowest polymorph of the same formula**: 0 meV per atom